(1)
Entry from the Alexandria database: a relaxed structure of Al2Fe3Ni3 (GGA-PBE).

a = 4.019 Å, b = 4.091 Å, c = 5.750 Å
α = 90.00°, β = 90.00°, γ = 90.00°
Fractional positions:
Al  0.000  0.000  0.247
Al  0.000  0.000  0.753
Fe  0.000  0.500  0.500
Fe  0.500  0.500  0.252
Fe  0.500  0.500  0.748
Ni  0.000  0.500  0.000
Ni  0.500  0.000  0.000
Ni  0.500  0.000  0.500

Output
D(E_F), states/eV per cell: 7.0
SG: Pmmm
E_form, eV/atom: -0.27

(2)
Entry from the Alexandria database: a relaxed structure of AlFeNi2 (GGA-PBE).

a = 2.616 Å, b = 4.176 Å, c = 4.305 Å
α = 90.00°, β = 90.00°, γ = 90.00°
Fractional positions:
Al  0.000  0.000  0.000
Fe  0.000  0.500  0.600
Ni  0.500  0.000  0.493
Ni  0.500  0.500  0.108

Output
D(E_F), states/eV per cell: 3.0
SG: Pmm2
E_form, eV/atom: -0.30

(3)
Entry from the Alexandria database: a relaxed structure of PaAlFeNi (GGA-PBE).

a = 4.477 Å, b = 4.477 Å, c = 4.477 Å
α = 60.00°, β = 60.00°, γ = 60.00°
Fractional positions:
Pa  0.000  0.000  0.000
Al  0.500  0.500  0.500
Fe  0.750  0.750  0.750
Ni  0.250  0.250  0.250

Output
D(E_F), states/eV per cell: 4.8
SG: F-43m
E_form, eV/atom: -0.27